Tb4ErSc8 | GGA-PBE | relaxed

E_form ... 0.594 eV per atom
Volume ... 1202 Å³/cell
DFT total energy ... -5.08 eV per atom

a = 10.4425 Å, b = 10.4425 Å, c = 12.7331 Å
α = 90.00°, β = 90.00°, γ = 120.00°
Space group R-3m (No. 166, hexagonal axes)
Symmetry-distinct sites (fractional):
Tb1 0.0000 0.0000 0.0000
Tb2 0.0000 0.5000 0.0000
Er1 0.0000 0.0000 0.5000
Sc1 0.0000 0.0000 0.2401
Sc2 0.0128 0.5064 0.7457